[1]
Compound: CaMg2TcH8
Source: the Alexandria database
Functional: PBE-GGA
Structure: optimized geometry

As for the mass density: 2.8 g/cm³. As for the space group: P-3m1. The density of states at the Fermi level is 0.3071 states/eV per atom. The raw total energy comes out at -3.7807 eV/atom. Its crystal system is trigonal.

abc: 4.6178 4.6178 6.3418
angles: 90.00 90.00 120.00
Fractional coordinates of all 12 atoms:
Ca  0.0000  0.0000  0.0000
Mg  0.3333  0.6667  0.3545
Mg  0.6667  0.3333  0.6455
Tc  0.0000  0.0000  0.5000
H  0.1708  0.3417  0.6713
H  0.1708  0.8292  0.6713
H  0.3333  0.6667  0.0551
H  0.3417  0.1708  0.3287
H  0.6583  0.8292  0.6713
H  0.6667  0.3333  0.9449
H  0.8292  0.1708  0.3287
H  0.8292  0.6583  0.3287

---

[2]
Compound: Na2WBr
Source: the Alexandria database
Functional: PBE-GGA
Structure: optimized geometry

As for the mass density: 4.4 g/cm³. As for the space group: Fm-3m. The density of states at the Fermi level is 0.0342 states/eV per atom. The energy above the most stable polymorph in this dataset comes out at 46 meV per atom. For the uncorrected formation energy, the calculation gives 1030.4 meV per atom. Its crystal system is cubic.

abc: 5.4842 5.4842 5.4842
angles: 60.00 60.00 60.00
Fractional coordinates of all 4 atoms:
Na  0.2500  0.2500  0.2500
Na  0.7500  0.7500  0.7500
W  0.0000  0.0000  0.0000
Br  0.5000  0.5000  0.5000

---

[3]
Compound: RbAuI3
Source: the Alexandria database
Functional: PBE-GGA
Structure: optimized geometry

As for the mass density: 3.4 g/cm³. As for the space group: Cmcm. The density of states at the Fermi level is 0.8783 states/eV per atom. For the uncorrected formation energy, the calculation gives -576.9 meV per atom. Its crystal system is orthorhombic.

abc: 12.2286 12.2286 6.1024
angles: 90.00 90.00 135.37
Fractional coordinates of all 10 atoms:
Rb  0.1602  0.8398  0.7500
Rb  0.8398  0.1602  0.2500
Au  0.3273  0.6727  0.7500
Au  0.6727  0.3273  0.2500
I  0.0000  0.0000  0.0000
I  0.0000  0.0000  0.5000
I  0.0472  0.4005  0.7500
I  0.4005  0.0472  0.2500
I  0.5995  0.9528  0.7500
I  0.9528  0.5995  0.2500

---

[4]
Compound: K2LaRu
Source: the Alexandria database
Functional: PBE-GGA
Structure: optimized geometry

As for the mass density: 3.2 g/cm³. As for the space group: Pm. The density of states at the Fermi level is 0.7646 states/eV per atom. The energy above the most stable polymorph in this dataset comes out at 0 meV per atom. Its energy of formation from the pure elements is 225 meV/atom. Its crystal system is monoclinic.

abc: 4.1134 3.7859 10.7848
angles: 90.00 100.95 90.00
Fractional coordinates of all 4 atoms:
K  0.0000  0.0000  0.0000
K  0.3023  0.5000  0.6282
La  0.6517  0.0000  0.3200
Ru  0.0440  0.5000  0.2925

---

[5]
Compound: Li2SiS
Source: the Alexandria database
Functional: PBE-GGA
Structure: optimized geometry

As for the mass density: 1.9 g/cm³. As for the space group: P1. The energy above the most stable polymorph in this dataset comes out at 47 meV per atom. For the uncorrected formation energy, the calculation gives -782.7 meV per atom. Its crystal system is triclinic.

abc: 3.8734 3.9207 10.0109
angles: 94.15 90.48 119.49
Fractional coordinates of all 8 atoms:
Li  0.0000  0.0000  0.0000
Li  0.0135  0.0233  0.3189
Li  0.2792  0.5706  0.5565
Li  0.3461  0.6845  0.1227
Si  0.3034  0.6131  0.8219
Si  0.6229  0.2554  0.7323
S  0.6008  0.2144  0.5060
S  0.6855  0.3592  0.1688

---

[6]
Compound: Sc2CuH2
Source: the Alexandria database
Functional: PBE-GGA
Structure: optimized geometry

As for the mass density: 4.2 g/cm³. As for the space group: I4/mmm. The density of states at the Fermi level is 0.3884 states/eV per atom. The energy above the most stable polymorph in this dataset comes out at 0 meV per atom. Its crystal system is tetragonal.

abc: 6.1477 6.1477 6.1477
angles: 148.84 148.84 44.64
Fractional coordinates of all 5 atoms:
Sc  0.1464  0.1464  0.0000
Sc  0.8536  0.8536  0.0000
Cu  0.5000  0.5000  0.0000
H  0.2500  0.7500  0.5000
H  0.7500  0.2500  0.5000

---

Repeat the third record exactly.
Compound: RbAuI3
Source: the Alexandria database
Functional: PBE-GGA
Structure: optimized geometry

As for the mass density: 3.4 g/cm³. As for the space group: Cmcm. The density of states at the Fermi level is 0.8783 states/eV per atom. For the uncorrected formation energy, the calculation gives -576.9 meV per atom. Its crystal system is orthorhombic.

abc: 12.2286 12.2286 6.1024
angles: 90.00 90.00 135.37
Fractional coordinates of all 10 atoms:
Rb  0.1602  0.8398  0.7500
Rb  0.8398  0.1602  0.2500
Au  0.3273  0.6727  0.7500
Au  0.6727  0.3273  0.2500
I  0.0000  0.0000  0.0000
I  0.0000  0.0000  0.5000
I  0.0472  0.4005  0.7500
I  0.4005  0.0472  0.2500
I  0.5995  0.9528  0.7500
I  0.9528  0.5995  0.2500